1.
The following is a DFT calculation (GGA-PBE) of a geometry-optimized Zn2IrOsPb structure.

Lattice parameters (Å, degrees): 4.797 4.804 4.797 90.00 90.00 90.00
Fractional positions:
Pb1 0.500 0.500 0.500
Zn1 0.000 0.000 0.500
Zn2 0.500 0.000 0.000
Ir1 0.000 0.000 0.000
Os1 0.000 0.500 0.000

Calculated values
- Symmetry: P4/mmm, No. 123
- Energy relative to the elements: 0.745 eV/atom
- E_tot: -0.333 Ry/atom

***

2.
The following is a DFT calculation (GGA-PBE) of a geometry-optimized MnCdRuAu2 structure.

Lattice parameters (Å, degrees): 4.891 4.338 4.891 90.00 90.00 90.00
Fractional positions:
Ru1 0.000 0.500 0.000
Mn1 0.000 0.000 0.000
Au1 0.000 0.000 0.500
Au2 0.500 0.000 0.000
Cd1 0.500 0.500 0.500

Calculated values
- Symmetry: P4/mmm, No. 123
- Energy relative to the elements: 0.804 eV/atom
- E_tot: -0.322 Ry/atom

***

3.
The following is a DFT calculation (GGA-PBE) of a geometry-optimized LiIn6Pb2 structure.

Lattice parameters (Å, degrees): 4.500 7.387 8.029 108.25 106.28 90.00
Fractional positions:
Li1 0.500 0.500 0.000
In1 0.387 0.818 0.775
In2 0.613 0.182 0.225
In3 0.721 0.832 0.442
In4 0.166 0.506 0.331
In5 0.279 0.168 0.558
In6 0.834 0.494 0.669
Pb1 0.946 0.171 0.893
Pb2 0.054 0.829 0.107

Calculated values
- Symmetry: C2/m, No. 12
- Energy relative to the elements: -0.036 eV/atom
- E_tot: -0.213 Ry/atom
- Energy above the most stable polymorph in this dataset: 0.0 meV per atom

***

4.
The following is a DFT calculation (GGA-PBE) of a geometry-optimized BeFe2PbBr structure.

Lattice parameters (Å, degrees): 5.111 5.927 5.111 90.00 90.00 90.00
Fractional positions:
Pb1 0.000 0.000 0.000
Be1 0.500 0.500 0.500
Fe1 0.000 0.000 0.500
Fe2 0.500 0.000 0.000
Br1 0.000 0.500 0.000

Calculated values
- Symmetry: P4/mmm, No. 123
- Formation energy from raw total energies: 1.641 eV/atom
- E_tot: -0.262 Ry/atom

***

5.
The following is a DFT calculation (GGA-PBE) of a geometry-optimized NdMgCuSn2 structure.

Lattice parameters (Å, degrees): 4.398 4.398 6.900 108.58 108.58 90.00
Fractional positions:
Nd1 0.000 0.000 0.000
Mg1 0.750 0.250 0.500
Cu1 0.250 0.750 0.500
Sn1 0.615 0.615 0.231
Sn2 0.385 0.385 0.769

Calculated values
- Symmetry: I-4m2, No. 119
- Energy relative to the elements: -0.352 eV/atom
- E_tot: -0.297 Ry/atom

***

6.
The following is a DFT calculation (GGA-PBE) of a geometry-optimized BaLaF4 structure.

Lattice parameters (Å, degrees): 4.211 4.211 6.431 90.00 90.00 90.00
Fractional positions:
Ba1 0.501 0.497 0.998
La1 0.001 0.997 0.498
F1 0.501 0.997 0.295
F2 0.501 0.997 0.701
F3 0.001 0.497 0.701
F4 0.001 0.497 0.295

Calculated values
- Symmetry: P4/mmm, No. 123
- Formation energy from raw total energies: -3.711 eV/atom
- E_tot: -0.448 Ry/atom

***

7.
The following is a DFT calculation (GGA-PBE) of a geometry-optimized LaIn3As structure.

Lattice parameters (Å, degrees): 5.352 5.352 5.352 90.00 90.00 90.00
Fractional positions:
As1 0.000 0.000 0.000
In1 0.000 0.500 0.000
In2 0.000 0.000 0.500
In3 0.500 0.000 0.000
La1 0.500 0.500 0.500

Calculated values
- Symmetry: Pm-3m, No. 221
- Energy relative to the elements: 0.111 eV/atom
- E_tot: -0.253 Ry/atom
- Energy above the most stable polymorph in this dataset: 0.0 meV per atom

***

8.
The following is a DFT calculation (GGA-PBE) of a geometry-optimized LiNb3Co8 structure.

Lattice parameters (Å, degrees): 4.734 4.734 7.712 90.00 90.00 120.00
Fractional positions:
Li1 0.000 0.000 0.555
Nb1 0.667 0.333 0.450
Nb2 0.667 0.333 0.071
Nb3 0.000 0.000 0.912
Co1 0.333 0.667 0.502
Co2 0.333 0.667 0.005
Co3 0.502 0.004 0.751
Co4 0.502 0.498 0.751
Co5 0.996 0.498 0.751
Co6 0.163 0.327 0.251
Co7 0.163 0.837 0.251
Co8 0.673 0.837 0.251

Calculated values
- Symmetry: P3m1, No. 156
- Energy relative to the elements: -0.104 eV/atom
- E_tot: -0.553 Ry/atom

***

9.
The following is a DFT calculation (GGA-PBE) of a geometry-optimized Li2ScTe structure.

Lattice parameters (Å, degrees): 3.754 3.754 6.321 90.00 90.00 90.00
Fractional positions:
Li1 0.000 0.000 0.015
Li2 0.500 0.500 0.230
Sc1 0.000 0.000 0.518
Te1 0.500 0.500 0.738

Calculated values
- Symmetry: P4mm, No. 99
- Formation energy from raw total energies: -0.477 eV/atom
- E_tot: -0.279 Ry/atom

***

10.
The following is a DFT calculation (GGA-PBE) of a geometry-optimized Ac3HgN3 structure.

Lattice parameters (Å, degrees): 4.559 9.761 9.761 120.00 90.00 90.00
Fractional positions:
Ac1 0.250 0.072 0.396
Ac2 0.250 0.604 0.676
Ac3 0.250 0.324 0.928
Ac4 0.750 0.928 0.604
Ac5 0.750 0.396 0.324
Ac6 0.750 0.676 0.072
Hg1 0.250 0.667 0.333
Hg2 0.750 0.333 0.667
N1 0.250 0.584 0.934
N2 0.250 0.066 0.650
N3 0.250 0.350 0.416
N4 0.750 0.416 0.066
N5 0.750 0.934 0.350
N6 0.750 0.650 0.584

Calculated values
- Symmetry: P6_3/m, No. 176
- Formation energy from raw total energies: -0.808 eV/atom
- E_tot: -0.454 Ry/atom

***

11.
The following is a DFT calculation (GGA-PBE) of a geometry-optimized CdGeO structure.

Lattice parameters (Å, degrees): 3.217 5.025 7.437 109.12 100.51 90.33
Fractional positions:
Cd1 0.062 0.432 0.440
Cd2 0.142 0.739 0.023
Ge1 0.594 0.900 0.393
Ge2 0.546 0.140 0.757
O1 0.553 0.517 0.804
O2 0.101 0.106 0.892

Calculated values
- Symmetry: P1, No. 1
- Formation energy from raw total energies: -0.630 eV/atom
- E_tot: -0.303 Ry/atom
- Energy above the most stable polymorph in this dataset: 23.9 meV per atom

***

12.
The following is a DFT calculation (GGA-PBE) of a geometry-optimized LiTb2Sc structure.

Lattice parameters (Å, degrees): 3.626 3.626 8.249 90.00 90.00 90.00
Fractional positions:
Sc1 0.500 0.500 0.500
Tb1 0.000 0.000 0.758
Tb2 0.000 0.000 0.242
Li1 0.500 0.500 0.000

Calculated values
- Symmetry: P4/mmm, No. 123
- Energy relative to the elements: 0.084 eV/atom
- E_tot: -0.315 Ry/atom
- Energy above the most stable polymorph in this dataset: 0.0 meV per atom